Record 1
The following is a DFT calculation (PBE) of Cs3In2Br3Cl2 after structural relaxation.

a = 18.534 Å, b = 18.534 Å, c = 18.534 Å
α = 163.82°, β = 163.82°, γ = 22.96°
Atoms (fractional coordinates):
Cs (0.000, 0.000, 0.000)
Cs (0.399, 0.399, 0.000)
Cs (0.601, 0.601, 0.000)
In (0.209, 0.209, 0.000)
In (0.791, 0.791, 0.000)
Br (0.100, 0.100, 0.000)
Br (0.500, 0.500, 0.000)
Br (0.900, 0.900, 0.000)
Cl (0.250, 0.750, 0.500)
Cl (0.750, 0.250, 0.500)

Values from the calculation:
Crystal system: tetragonal
Space-group type: No. 139
Energy relative to the elements, uncorrected, meV/atom: -1356.0



Record 2
The following is a DFT calculation (PBE) of Cs5AlPb6 after structural relaxation.

a = 8.331 Å, b = 8.331 Å, c = 10.579 Å
α = 96.89°, β = 96.89°, γ = 118.89°
Atoms (fractional coordinates):
Cs (0.000, 0.000, 0.000)
Cs (0.164, 0.836, 0.500)
Cs (0.302, 0.698, 0.000)
Cs (0.698, 0.302, 0.000)
Cs (0.836, 0.164, 0.500)
Al (0.500, 0.500, 0.500)
Pb (0.212, 0.431, 0.284)
Pb (0.362, 0.362, 0.727)
Pb (0.431, 0.212, 0.284)
Pb (0.569, 0.788, 0.716)
Pb (0.638, 0.638, 0.273)
Pb (0.788, 0.569, 0.716)

Values from the calculation:
Crystal system: monoclinic
Calculated formation energy, eV per atom: -0.065
Space-group type: No. 12



Record 3
The following is a DFT calculation (PBE) of Sr2LiS2 after structural relaxation.

a = 7.883 Å, b = 7.883 Å, c = 4.017 Å
α = 90.00°, β = 90.00°, γ = 90.00°
Atoms (fractional coordinates):
Sr (0.154, 0.346, 0.000)
Sr (0.346, 0.846, 0.000)
Sr (0.654, 0.154, 0.000)
Sr (0.846, 0.654, 0.000)
Li (0.000, 0.000, 0.500)
Li (0.500, 0.500, 0.500)
S (0.158, 0.658, 0.500)
S (0.342, 0.158, 0.500)
S (0.658, 0.842, 0.500)
S (0.842, 0.342, 0.500)

Values from the calculation:
Crystal system: tetragonal
Space-group type: No. 127
Energy relative to the elements, uncorrected, meV/atom: -1511.0



Record 4
The following is a DFT calculation (PBE) of Mg2Ag2Hg after structural relaxation.

a = 4.186 Å, b = 4.186 Å, c = 12.674 Å
α = 90.00°, β = 90.00°, γ = 90.00°
Atoms (fractional coordinates):
Mg (0.000, 0.500, 0.250)
Mg (0.000, 0.500, 0.750)
Mg (0.500, 0.000, 0.250)
Mg (0.500, 0.000, 0.750)
Ag (0.000, 0.000, 0.107)
Ag (0.000, 0.000, 0.893)
Ag (0.500, 0.500, 0.393)
Ag (0.500, 0.500, 0.607)
Hg (0.000, 0.000, 0.500)
Hg (0.500, 0.500, 0.000)

Values from the calculation:
Crystal system: tetragonal
Calculated formation energy, eV per atom: 0.059
Space-group type: No. 139



Record 5
The following is a DFT calculation (PBE) of Ho3ErRu3 after structural relaxation.

a = 5.802 Å, b = 5.802 Å, c = 5.802 Å
α = 109.46°, β = 109.46°, γ = 109.46°
Atoms (fractional coordinates):
Ho (0.195, 0.195, 0.609)
Ho (0.195, 0.609, 0.195)
Ho (0.609, 0.195, 0.195)
Er (0.781, 0.781, 0.781)
Ru (0.196, 0.696, 0.696)
Ru (0.696, 0.196, 0.696)
Ru (0.696, 0.696, 0.196)

Values from the calculation:
Crystal system: trigonal
Calculated formation energy, eV per atom: -0.397
Space-group type: No. 160



Record 6
The following is a DFT calculation (PBE) of PmHoScIn after structural relaxation.

a = 7.614 Å, b = 7.614 Å, c = 7.614 Å
α = 90.00°, β = 90.00°, γ = 90.00°
Atoms (fractional coordinates):
Pm (0.000, 0.000, 0.000)
Pm (0.000, 0.500, 0.500)
Pm (0.500, 0.000, 0.500)
Pm (0.500, 0.500, 0.000)
Ho (0.000, 0.000, 0.500)
Ho (0.000, 0.500, 0.000)
Ho (0.500, 0.000, 0.000)
Ho (0.500, 0.500, 0.500)
Sc (0.250, 0.250, 0.750)
Sc (0.250, 0.750, 0.250)
Sc (0.750, 0.250, 0.250)
Sc (0.750, 0.750, 0.750)
In (0.250, 0.250, 0.250)
In (0.250, 0.750, 0.750)
In (0.750, 0.250, 0.750)
In (0.750, 0.750, 0.250)

Values from the calculation:
Crystal system: cubic
Calculated formation energy, eV per atom: -0.162
Space-group type: No. 216



Record 7
The following is a DFT calculation (PBE) of MgZnSb2Te after structural relaxation.

a = 5.425 Å, b = 5.425 Å, c = 5.444 Å
α = 90.00°, β = 90.00°, γ = 90.00°
Atoms (fractional coordinates):
Mg (0.000, 0.000, 0.000)
Zn (0.500, 0.500, 0.500)
Sb (0.000, 0.500, 0.000)
Sb (0.500, 0.000, 0.000)
Te (0.000, 0.000, 0.500)

Values from the calculation:
Crystal system: tetragonal
Space-group type: No. 123
Energy relative to the elements, uncorrected, meV/atom: 567.7



Record 8
The following is a DFT calculation (PBE) of CrCu2Pd4 after structural relaxation.

a = 6.515 Å, b = 6.515 Å, c = 6.515 Å
α = 109.31°, β = 109.31°, γ = 109.79°
Atoms (fractional coordinates):
Cr (0.000, 0.000, 0.000)
Cr (0.750, 0.250, 0.500)
Cu (0.246, 0.125, 0.621)
Cu (0.375, 0.754, 0.879)
Cu (0.504, 0.625, 0.379)
Cu (0.875, 0.496, 0.121)
Pd (0.126, 0.377, 0.412)
Pd (0.127, 0.376, 0.912)
Pd (0.286, 0.874, 0.251)
Pd (0.464, 0.215, 0.088)
Pd (0.623, 0.035, 0.749)
Pd (0.624, 0.536, 0.751)
Pd (0.785, 0.873, 0.249)
Pd (0.965, 0.714, 0.588)

Values from the calculation:
Crystal system: tetragonal
Calculated formation energy, eV per atom: 0.132
Space-group type: No. 122



Record 9
The following is a DFT calculation (PBE) of RbAlI3 after structural relaxation.

a = 5.841 Å, b = 5.841 Å, c = 5.841 Å
α = 90.00°, β = 90.00°, γ = 90.00°
Atoms (fractional coordinates):
Rb (0.000, 0.000, 0.000)
Al (0.500, 0.500, 0.500)
I (0.000, 0.500, 0.500)
I (0.500, 0.000, 0.500)
I (0.500, 0.500, 0.000)

Values from the calculation:
Crystal system: cubic
Space-group type: No. 221
Energy relative to the elements, uncorrected, meV/atom: -821.5



Record 10
The following is a DFT calculation (PBE) of KHf after structural relaxation.

a = 11.896 Å, b = 11.896 Å, c = 3.096 Å
α = 90.00°, β = 90.00°, γ = 120.00°
Atoms (fractional coordinates):
K (0.097, 0.804, 0.250)
K (0.196, 0.293, 0.250)
K (0.293, 0.097, 0.750)
K (0.707, 0.903, 0.250)
K (0.804, 0.707, 0.750)
K (0.903, 0.196, 0.750)
Hf (0.127, 0.549, 0.250)
Hf (0.422, 0.873, 0.250)
Hf (0.451, 0.578, 0.250)
Hf (0.549, 0.422, 0.750)
Hf (0.578, 0.127, 0.750)
Hf (0.873, 0.451, 0.750)

Values from the calculation:
Crystal system: hexagonal
Calculated formation energy, eV per atom: 1.043
Space-group type: No. 176



Record 11
The following is a DFT calculation (PBE) of Zr2TaRe after structural relaxation.

a = 3.253 Å, b = 3.253 Å, c = 7.358 Å
α = 90.00°, β = 90.00°, γ = 90.00°
Atoms (fractional coordinates):
Zr (0.000, 0.000, 0.000)
Zr (0.500, 0.500, 0.294)
Ta (0.500, 0.500, 0.730)
Re (0.000, 0.000, 0.530)

Values from the calculation:
Crystal system: tetragonal
Calculated formation energy, eV per atom: -0.133
Space-group type: No. 99



Record 12
The following is a DFT calculation (PBE) of BaMn2V2 after structural relaxation.

a = 3.974 Å, b = 3.974 Å, c = 12.439 Å
α = 90.00°, β = 90.00°, γ = 90.00°
Atoms (fractional coordinates):
Ba (0.000, 0.000, 0.000)
Ba (0.500, 0.500, 0.500)
Mn (0.000, 0.500, 0.250)
Mn (0.000, 0.500, 0.750)
Mn (0.500, 0.000, 0.250)
Mn (0.500, 0.000, 0.750)
V (0.000, 0.000, 0.351)
V (0.000, 0.000, 0.649)
V (0.500, 0.500, 0.149)
V (0.500, 0.500, 0.851)

Values from the calculation:
Crystal system: tetragonal
Calculated formation energy, eV per atom: 0.582
Space-group type: No. 139



Record-wise DOS(E_F) values, in states/eV per cell: 0.00; 3.87; 0.82; 4.23; 2.66; 21.41; 5.39; 15.59; 1.18; 15.27; 3.93; 8.93